Compound: BaSi2Ru
Source: the Alexandria database
Functional: PBE
Structure: optimized geometry

Unit cell a=4.120 b=6.345 c=7.930 alpha=90.00 beta=90.00 gamma=90.00
Space group Imm2 (No. 44)
Unique sites:
Ba (0.000, 0.000, 0.000) (multiplicity 2)
Si (0.000, 0.000, 0.512) (multiplicity 2)
Si (0.000, 0.500, 0.179) (multiplicity 2)
Ru (0.000, 0.500, 0.883) (multiplicity 2)

Summary:
E_tot: -42.59 eV per cell
Mass density: 4.718 Mg/m³



Compound: SrHgTeMo2
Source: the Alexandria database
Functional: PBE
Structure: optimized geometry

Unit cell a=5.230 b=5.230 c=5.971 alpha=90.00 beta=90.00 gamma=90.00
Space group P4/mmm (No. 123)
Unique sites:
Sr (0.000, 0.000, 0.000) (multiplicity 1)
Hg (0.000, 0.000, 0.500) (multiplicity 1)
Te (0.500, 0.500, 0.000) (multiplicity 1)
Mo (0.000, 0.500, 0.500) (multiplicity 2)

Summary:
E_tot: -20.41 eV per cell
Mass density: 6.177 Mg/m³



Compound: Ce2CuS2O2
Source: the Alexandria database
Functional: PBE
Structure: optimized geometry

Unit cell a=4.0008 b=4.0008 c=10.5000 alpha=90.00 beta=90.00 gamma=120.00
Space group P-3m1 (No. 164)
Unique sites:
Ce (0.3333, 0.6667, 0.1431) (multiplicity 2)
Cu (0.0000, 0.0000, 0.5000) (multiplicity 1)
S (0.0000, 0.0000, 0.2980) (multiplicity 2)
O (0.3333, 0.6667, 0.9222) (multiplicity 2)

Summary:
E_tot: -49.74 eV per cell
Mass density: 5.019 Mg/m³



Compound: TlGaBr6
Source: the Alexandria database
Functional: PBE
Structure: optimized geometry

Unit cell a=6.691 b=12.681 c=6.688 alpha=90.00 beta=109.19 gamma=90.00
Space group C2/m (No. 12)
Unique sites:
Tl (0.000, 0.000, 0.000) (multiplicity 2)
Ga (0.000, 0.500, 0.500) (multiplicity 2)
Br (0.232, 0.500, 0.269) (multiplicity 4)
Br (0.237, 0.353, 0.738) (multiplicity 8)

Summary:
E_tot: -38.73 eV per cell
Mass density: 4.669 Mg/m³



Compound: K4Th3AuS8
Source: the Alexandria database
Functional: PBE
Structure: optimized geometry

Unit cell a=14.597 b=8.227 c=8.816 alpha=90.00 beta=123.18 gamma=90.00
Space group C2/m (No. 12)
Unique sites:
K (0.000, 0.000, 0.000) (multiplicity 2)
K (0.000, 0.500, 0.000) (multiplicity 2)
K (0.250, 0.250, 0.000) (multiplicity 4)
Th (0.000, 0.000, 0.500) (multiplicity 2)
Th (0.250, 0.250, 0.500) (multiplicity 4)
Au (0.000, 0.500, 0.500) (multiplicity 2)
S (0.020, 0.245, 0.298) (multiplicity 8)
S (0.234, 0.000, 0.710) (multiplicity 4)
S (0.249, 0.000, 0.285) (multiplicity 4)

Summary:
E_tot: -173.15 eV per cell
Mass density: 4.895 Mg/m³



Compound: PmNd6Sm2Dy3
Source: the Alexandria database
Functional: PBE
Structure: optimized geometry

Unit cell a=6.309 b=10.928 c=11.992 alpha=90.00 beta=100.09 gamma=90.00
Space group C2/m (No. 12)
Unique sites:
Pm (0.000, 0.000, 0.000) (multiplicity 2)
Nd (0.249, 0.000, 0.747) (multiplicity 4)
Nd (0.249, 0.333, 0.747) (multiplicity 8)
Sm (0.000, 0.333, 0.000) (multiplicity 4)
Dy (0.000, 0.167, 0.500) (multiplicity 4)
Dy (0.000, 0.500, 0.500) (multiplicity 2)

Summary:
Formation energy from the elements: 0.013 eV per atom
E_tot: -112.90 eV per cell
Mass density: 7.338 Mg/m³